1.
Computed, not measured: a relaxed structure of CoTeRh at the GGA-PBE level of DFT.

## Properties
The value obtained for the total energy is -5.49 eV/atom. The uncorrected formation energy is 0.375 eV/atom. The calculation puts the magnetic moment at 1.82 μB/f.u. Its distance to the lowest polymorph of the same formula is 0.322 eV/atom.

a b c (Å): 3.2014 3.2014 5.6980
angles (deg): 90.00 90.00 120.00
Space group P3m1 (No. 156)
Inequivalent atoms, fractional coordinates:
Co  0.0000  0.0000  0.0000 [1 per cell]
Te  0.3333  0.6667  0.6726 [1 per cell]
Rh  0.6667  0.3333  0.3217 [1 per cell]



2.
Computed, not measured: a relaxed structure of Co2Te6Rh at the GGA-PBE level of DFT.

## Properties
The value obtained for the total energy is -4.61 eV/atom. The uncorrected formation energy is -0.123 eV/atom. The calculation puts the magnetic moment at 0.00 μB/f.u.

a b c (Å): 11.081 12.626 6.778
angles (deg): 90.00 111.38 90.00
Space group C2/c (No. 15)
Inequivalent atoms, fractional coordinates:
Co  0.124  0.092  0.223 [8 per cell]
Te  0.103  0.094  0.570 [8 per cell]
Te  0.135  0.421  0.671 [8 per cell]
Te  0.144  0.282  0.140 [8 per cell]
Rh  0.000  0.415  0.250 [4 per cell]



3.
Computed, not measured: a relaxed structure of Th8Co3Te4Rh at the GGA-PBE level of DFT.

## Properties
The value obtained for the total energy is -7.11 eV/atom. The uncorrected formation energy is -0.822 eV/atom. The calculation puts the magnetic moment at 0.00 μB/f.u.

a b c (Å): 14.259 8.224 9.015
angles (deg): 90.00 121.81 90.00
Space group C2/m (No. 12)
Inequivalent atoms, fractional coordinates:
Th  0.019  0.244  0.303 [8 per cell]
Th  0.231  0.000  0.693 [4 per cell]
Th  0.236  0.500  0.697 [4 per cell]
Co  0.000  0.000  0.500 [2 per cell]
Co  0.250  0.250  0.500 [4 per cell]
Te  0.000  0.000  0.000 [2 per cell]
Te  0.000  0.500  0.000 [2 per cell]
Te  0.250  0.250  0.000 [4 per cell]
Rh  0.000  0.500  0.500 [2 per cell]



4.
Computed, not measured: a relaxed structure of Th6Co3TeRh2 at the GGA-PBE level of DFT.

## Properties
The value obtained for the total energy is -7.51 eV/atom. The uncorrected formation energy is -0.540 eV/atom. The calculation puts the magnetic moment at 0.00 μB/f.u.

a b c (Å): 17.690 3.978 8.731
angles (deg): 90.00 105.13 90.00
Space group C2/m (No. 12)
Inequivalent atoms, fractional coordinates:
Th  0.006  0.000  0.217 [4 per cell]
Th  0.165  0.500  0.084 [4 per cell]
Th  0.185  0.500  0.594 [4 per cell]
Co  0.000  0.500  0.000 [2 per cell]
Co  0.164  0.000  0.329 [4 per cell]
Te  0.000  0.500  0.500 [2 per cell]
Rh  0.168  0.000  0.837 [4 per cell]



5.
Computed, not measured: a relaxed structure of TiCoTeRh2 at the GGA-PBE level of DFT.

## Properties
The value obtained for the total energy is -5.69 eV/atom. The uncorrected formation energy is 0.880 eV/atom. The calculation puts the magnetic moment at 2.34 μB/f.u.

a b c (Å): 4.511 4.511 5.153
angles (deg): 90.00 90.00 90.00
Space group P4/mmm (No. 123)
Inequivalent atoms, fractional coordinates:
Ti  0.000  0.000  0.000 [1 per cell]
Co  0.500  0.500  0.500 [1 per cell]
Te  0.000  0.000  0.500 [1 per cell]
Rh  0.000  0.500  0.000 [2 per cell]



6.
Computed, not measured: a relaxed structure of Th8CoRh5 at the GGA-PBE level of DFT.

## Properties
The value obtained for the total energy is -8.06 eV/atom. The calculation puts the magnetic moment at 0.00 μB/f.u. The formation energy comes out at -0.69 eV per atom.

a b c (Å): 8.795 8.795 8.962
angles (deg): 90.00 90.00 90.00
Space group I-4 (No. 82)
Inequivalent atoms, fractional coordinates:
Th  0.053  0.295  0.069 [8 per cell]
Th  0.055  0.196  0.680 [8 per cell]
Co  0.000  0.000  0.000 [2 per cell]
Rh  0.000  0.500  0.750 [2 per cell]
Rh  0.113  0.250  0.375 [8 per cell]